This record from Alexandria via LeMat-Bulk describes a relaxed MnPt2Br crystal. The functional is GGA-PBE.

Structure (extended XYZ):
```
4
Lattice="2.847 -4.026 0.000 2.847 4.026 0.000 0.000 0.000 2.982" Properties=species:S:1:pos:R:3 pbc="T T T"
Mn 0.000 0.000 0.000
Pt 1.423 2.013 1.491
Pt 1.423 -2.013 1.491
Br 2.847 0.000 0.000
```

Summary:
Total magnetic moment: 1.17 μB/atom
E_tot: -5.30 eV per atom
Formation energy without anion corrections: 0.429 eV per atom
SG: Cmmm
Polymorph energy (0 for the lowest one): 0.3788 eV per atom
Crystal system: orthorhombic